# Pr4AlCd3

An optimized crystal structure of Pr4AlCd3 (GGA-PBE, Alexandria via LeMat-Bulk).

* calculated volume: 28.6 Å³/atom
* distance to the lowest polymorph of the same formula: 0 meV per atom
* SG: P4/mmm (123)
* VASP energy: -0.2588 Ry/atom
* energy of formation: -0.32 eV/atom

Lattice parameters (Å, degrees): 3.813 3.813 15.727 90.00 90.00 90.00
Each line ends with the local moment (μB).
Atoms (fractional coordinates):
Pr: 0.000 0.000 0.884  0.02
Pr: 0.000 0.000 0.116  0.02
Pr: 0.000 0.000 0.372  0.12
Pr: 0.000 0.000 0.628  0.12
Al: 0.500 0.500 0.000  0.00
Cd: 0.500 0.500 0.246  0.01
Cd: 0.500 0.500 0.500  0.01
Cd: 0.500 0.500 0.754  0.01